*1*
The following is a GGA-PBE calculation of a geometry-optimized Li3AcGe structure, from the Alexandria database.

a b c (Å): 4.8555 4.8555 4.8555
angles (deg): 90.00 90.00 90.00
Element x y z (fractional)
Li1 0.0000 0.0000 0.5000
Li2 0.0000 0.5000 0.0000
Li3 0.5000 0.0000 0.0000
Ac1 0.5000 0.5000 0.5000
Ge1 0.0000 0.0000 0.0000

## Properties
- D(E_F) (states/eV/f.u.) = 0.92
- space-group type = Pm-3m (221)
- magnetization (μB/atom) = 0.00

=====

*2*
The following is a GGA-PBE calculation of a geometry-optimized Li3AcGe structure, from the Alexandria database.

a b c (Å): 6.8963 6.8943 4.4516
angles (deg): 71.19 71.14 37.66
Element x y z (fractional)
Li1 0.0000 0.0000 0.0000
Li2 0.1594 0.1594 0.3406
Li3 0.6594 0.6594 0.8406
Ac1 0.3695 0.3695 0.6305
Ge1 0.7843 0.7843 0.2157

## Properties
- D(E_F) (states/eV/f.u.) = 2.58
- space-group type = Fmm2 (42)
- magnetization (μB/atom) = 0.00

=====

Ordering by calculated energy gives the sequence *2*, *1*, with the first entry being the most stable.

=====

*1*
The following is a GGA-PBE calculation of a geometry-optimized Li2Ac5Ge5 structure, from the Alexandria database.

a b c (Å): 8.4571 8.4571 12.2337
angles (deg): 129.45 129.45 31.04
Element x y z (fractional)
Li1 0.1463 0.1463 0.2545
Li2 0.8537 0.8537 0.7455
Ac1 0.3129 0.3129 0.1855
Ac2 0.3987 0.3987 0.5841
Ac3 0.5000 0.5000 0.0000
Ac4 0.6013 0.6013 0.4159
Ac5 0.6871 0.6871 0.8145
Ge1 0.0000 0.0000 0.5000
Ge2 0.0681 0.0681 0.8777
Ge3 0.2429 0.2429 0.6676
Ge4 0.7571 0.7571 0.3324
Ge5 0.9319 0.9319 0.1223

## Properties
- D(E_F) (states/eV/f.u.) = 7.14
- space-group type = C2/m (12)
- magnetization (μB/atom) = 0.00

=====

*2*
The following is a GGA-PBE calculation of a geometry-optimized Li2Ac5Ge5 structure, from the Alexandria database.

a b c (Å): 6.8970 6.8970 13.0590
angles (deg): 114.97 114.97 37.96
Element x y z (fractional)
Li1 0.1893 0.1893 0.2374
Li2 0.8107 0.8107 0.7626
Ac1 0.0991 0.0991 0.7718
Ac2 0.1514 0.1514 0.4901
Ac3 0.5000 0.5000 0.0000
Ac4 0.8486 0.8486 0.5099
Ac5 0.9009 0.9009 0.2282
Ge1 0.2259 0.2259 0.0468
Ge2 0.3854 0.3854 0.7225
Ge3 0.5000 0.5000 0.5000
Ge4 0.6146 0.6146 0.2775
Ge5 0.7741 0.7741 0.9532

## Properties
- D(E_F) (states/eV/f.u.) = 5.50
- space-group type = C2/m (12)
- magnetization (μB/atom) = 0.00

=====

Ordering by calculated energy gives the sequence *1*, *2*, with the first entry being the most stable.

=====

*1*
The following is a GGA-PBE calculation of a geometry-optimized LiAc2Ge structure, from the Alexandria database.

a b c (Å): 6.7801 4.7017 8.0330
angles (deg): 90.00 107.24 90.00
Element x y z (fractional)
Li1 0.0873 0.2500 0.1996
Li2 0.9127 0.7500 0.8004
Ac1 0.2588 0.7500 0.5635
Ac2 0.3523 0.7500 0.1018
Ac3 0.6477 0.2500 0.8982
Ac4 0.7412 0.2500 0.4365
Ge1 0.1240 0.2500 0.8118
Ge2 0.8760 0.7500 0.1882

## Properties
- D(E_F) (states/eV/f.u.) = 4.01
- space-group type = P2_1/m (11)
- magnetization (μB/atom) = 0.00

=====

*2*
The following is a GGA-PBE calculation of a geometry-optimized LiAc2Ge structure, from the Alexandria database.

a b c (Å): 7.8432 7.8432 7.8432
angles (deg): 90.00 90.00 90.00
Element x y z (fractional)
Li1 0.0000 0.0000 0.0000
Li2 0.0000 0.5000 0.5000
Li3 0.5000 0.0000 0.5000
Li4 0.5000 0.5000 0.0000
Ac1 0.2500 0.2500 0.2500
Ac2 0.2500 0.2500 0.7500
Ac3 0.2500 0.7500 0.2500
Ac4 0.2500 0.7500 0.7500
Ac5 0.7500 0.2500 0.2500
Ac6 0.7500 0.2500 0.7500
Ac7 0.7500 0.7500 0.2500
Ac8 0.7500 0.7500 0.7500
Ge1 0.0000 0.0000 0.5000
Ge2 0.0000 0.5000 0.0000
Ge3 0.5000 0.0000 0.0000
Ge4 0.5000 0.5000 0.5000

## Properties
- D(E_F) (states/eV/f.u.) = 2.48
- space-group type = Fm-3m (225)
- magnetization (μB/atom) = 0.00

=====

*3*
The following is a GGA-PBE calculation of a geometry-optimized LiAc2Ge structure, from the Alexandria database.

a b c (Å): 5.3339 5.3339 4.2485
angles (deg): 90.00 90.00 90.00
Element x y z (fractional)
Li1 0.0000 0.0000 0.0000
Ac1 0.0000 0.5000 0.5000
Ac2 0.5000 0.0000 0.5000
Ge1 0.5000 0.5000 0.0000

## Properties
- D(E_F) (states/eV/f.u.) = 3.83
- space-group type = P4/mmm (123)
- magnetization (μB/atom) = 0.00

=====

Ordering by calculated energy gives the sequence *1*, *3*, *2*, with the first entry being the most stable.

=====

*1*
The following is a GGA-PBE calculation of a geometry-optimized Ac3MgGe3 structure, from the Alexandria database.

a b c (Å): 6.5268 6.5268 15.0390
angles (deg): 107.63 107.63 41.91
Element x y z (fractional)
Ac1 0.0184 0.0184 0.3774
Ac2 0.1018 0.1018 0.9215
Ac3 0.2415 0.2415 0.2231
Ac4 0.7585 0.7585 0.7769
Ac5 0.8982 0.8982 0.0785
Ac6 0.9816 0.9816 0.6226
Mg1 0.2637 0.2637 0.5911
Mg2 0.7363 0.7363 0.4089
Ge1 0.3622 0.3622 0.4478
Ge2 0.3914 0.3914 0.9230
Ge3 0.4643 0.4643 0.7713
Ge4 0.5357 0.5357 0.2287
Ge5 0.6086 0.6086 0.0770
Ge6 0.6378 0.6378 0.5522

## Properties
- D(E_F) (states/eV/f.u.) = 5.07
- space-group type = C2/m (12)
- magnetization (μB/atom) = 0.00

=====

*2*
The following is a GGA-PBE calculation of a geometry-optimized Ac3MgGe3 structure, from the Alexandria database.

a b c (Å): 9.4314 9.4314 6.4014
angles (deg): 90.00 90.00 120.00
Element x y z (fractional)
Ac1 0.0543 0.7028 0.2500
Ac2 0.2972 0.3515 0.2500
Ac3 0.3515 0.0543 0.7500
Ac4 0.6485 0.9457 0.2500
Ac5 0.7028 0.6485 0.7500
Ac6 0.9457 0.2972 0.7500
Mg1 0.3333 0.6667 0.7500
Mg2 0.6667 0.3333 0.2500
Ge1 0.0530 0.6791 0.7500
Ge2 0.3209 0.3738 0.7500
Ge3 0.3738 0.0530 0.2500
Ge4 0.6262 0.9470 0.7500
Ge5 0.6791 0.6262 0.2500
Ge6 0.9470 0.3209 0.2500

## Properties
- D(E_F) (states/eV/f.u.) = 5.81
- space-group type = P6_3/m (176)
- magnetization (μB/atom) = 0.00

=====

Ordering by calculated energy gives the sequence *1*, *2*, with the first entry being the most stable.

=====

*1*
The following is a GGA-PBE calculation of a geometry-optimized Ac2MgGe3 structure, from the Alexandria database.

a b c (Å): 4.5439 4.6596 7.6732
angles (deg): 90.00 90.00 90.00
Element x y z (fractional)
Ac1 0.0000 0.0000 0.0000
Ac2 0.0000 0.5000 0.4711
Mg1 0.5000 0.5000 0.8147
Ge1 0.5000 0.0000 0.3177
Ge2 0.5000 0.0000 0.6503
Ge3 0.5000 0.5000 0.1606

## Properties
- D(E_F) (states/eV/f.u.) = 2.70
- space-group type = Pmm2 (25)
- magnetization (μB/atom) = 0.00

=====

*2*
The following is a GGA-PBE calculation of a geometry-optimized Ac2MgGe3 structure, from the Alexandria database.

a b c (Å): 8.9927 8.9489 6.4497
angles (deg): 69.30 68.57 42.14
Element x y z (fractional)
Ac1 0.2387 0.7613 0.2387
Ac2 0.2500 0.2500 0.2500
Ac3 0.7500 0.7500 0.7500
Ac4 0.7613 0.2387 0.7613
Mg1 0.3351 0.3351 0.6649
Mg2 0.6649 0.6649 0.3351
Ge1 0.1656 0.1656 0.8344
Ge2 0.1689 0.6661 0.8311
Ge3 0.3339 0.8311 0.6661
Ge4 0.6661 0.1689 0.3339
Ge5 0.8311 0.3339 0.1689
Ge6 0.8344 0.8344 0.1656

## Properties
- D(E_F) (states/eV/f.u.) = 2.69
- space-group type = Fmmm (69)
- magnetization (μB/atom) = 0.00

=====

Ordering by calculated energy gives the sequence *1*, *2*, with the first entry being the most stable.

=====

*1*
The following is a GGA-PBE calculation of a geometry-optimized AcMgGePd structure, from the Alexandria database.

a b c (Å): 7.2421 7.2421 7.2421
angles (deg): 90.00 90.00 90.00
Element x y z (fractional)
Ac1 0.0000 0.0000 0.0000
Ac2 0.0000 0.5000 0.5000
Ac3 0.5000 0.0000 0.5000
Ac4 0.5000 0.5000 0.0000
Mg1 0.0000 0.0000 0.5000
Mg2 0.0000 0.5000 0.0000
Mg3 0.5000 0.0000 0.0000
Mg4 0.5000 0.5000 0.5000
Ge1 0.2500 0.2500 0.2500
Ge2 0.2500 0.7500 0.7500
Ge3 0.7500 0.2500 0.7500
Ge4 0.7500 0.7500 0.2500
Pd1 0.2500 0.2500 0.7500
Pd2 0.2500 0.7500 0.2500
Pd3 0.7500 0.2500 0.2500
Pd4 0.7500 0.7500 0.7500

## Properties
- D(E_F) (states/eV/f.u.) = 1.84
- space-group type = F-43m (216)
- magnetization (μB/atom) = 0.00

=====

*2*
The following is a GGA-PBE calculation of a geometry-optimized AcMgGePd structure, from the Alexandria database.

a b c (Å): 7.9798 4.5965 5.9254
angles (deg): 90.00 116.69 90.00
Element x y z (fractional)
Ac1 0.0000 0.0000 0.0000
Ac2 0.5000 0.5000 0.0000
Mg1 0.0072 0.5000 0.5207
Mg2 0.5072 0.0000 0.5207
Ge1 0.2893 0.5000 0.3676
Ge2 0.7893 0.0000 0.3676
Pd1 0.2032 0.0000 0.6082
Pd2 0.7032 0.5000 0.6082

## Properties
- D(E_F) (states/eV/f.u.) = 4.22
- space-group type = Cm (8)
- magnetization (μB/atom) = 0.00

=====

Ordering by calculated energy gives the sequence *2*, *1*, with the first entry being the most stable.

=====

*1*
The following is a GGA-PBE calculation of a geometry-optimized AcMnGe2 structure, from the Alexandria database.

a b c (Å): 4.2789 4.2789 17.0437
angles (deg): 90.00 90.00 120.00
Element x y z (fractional)
Ac1 0.0000 0.0000 0.0000
Ac2 0.3333 0.6667 0.6667
Ac3 0.6667 0.3333 0.3333
Mn1 0.0000 0.0000 0.5000
Mn2 0.3333 0.6667 0.1667
Mn3 0.6667 0.3333 0.8333
Ge1 0.0000 0.0000 0.2144
Ge2 0.0000 0.0000 0.7856
Ge3 0.3333 0.6667 0.4523
Ge4 0.3333 0.6667 0.8811
Ge5 0.6667 0.3333 0.1189
Ge6 0.6667 0.3333 0.5477

## Properties
- D(E_F) (states/eV/f.u.) = 2.36
- space-group type = R-3m (166)
- magnetization (μB/atom) = 0.72

=====

*2*
The following is a GGA-PBE calculation of a geometry-optimized AcMnGe2 structure, from the Alexandria database.

a b c (Å): 4.5900 4.5900 21.2838
angles (deg): 90.00 90.00 90.00
Element x y z (fractional)
Ac1 0.0000 0.0000 0.0000
Ac2 0.0000 0.5000 0.2500
Ac3 0.5000 0.0000 0.7500
Ac4 0.5000 0.5000 0.5000
Mn1 0.0000 0.0000 0.5962
Mn2 0.0000 0.5000 0.8462
Mn3 0.5000 0.0000 0.3462
Mn4 0.5000 0.5000 0.0962
Ge1 0.0000 0.0000 0.3744
Ge2 0.0000 0.0000 0.4874
Ge3 0.0000 0.5000 0.6244
Ge4 0.0000 0.5000 0.7374
Ge5 0.5000 0.0000 0.1244
Ge6 0.5000 0.0000 0.2374
Ge7 0.5000 0.5000 0.8744
Ge8 0.5000 0.5000 0.9874

## Properties
- D(E_F) (states/eV/f.u.) = 2.76
- space-group type = I4_1md (109)
- magnetization (μB/atom) = 0.88

=====

Ordering by calculated energy gives the sequence *1*, *2*, with the first entry being the most stable.

=====

*1*
The following is a GGA-PBE calculation of a geometry-optimized Ac2MnGe4 structure, from the Alexandria database.

a b c (Å): 6.5584 6.5550 6.1249
angles (deg): 62.18 62.13 55.69
Element x y z (fractional)
Ac1 0.0000 0.0000 0.5000
Ac2 0.5000 0.5000 0.0000
Mn1 0.2509 0.2509 0.7491
Ge1 0.5367 0.9631 0.0369
Ge2 0.5370 0.9628 0.4630
Ge3 0.9628 0.5370 0.0372
Ge4 0.9631 0.5367 0.4633

## Properties
- D(E_F) (states/eV/f.u.) = 4.37
- space-group type = Fmm2 (42)
- magnetization (μB/atom) = 0.49

=====

*2*
The following is a GGA-PBE calculation of a geometry-optimized Ac2MnGe4 structure, from the Alexandria database.

a b c (Å): 6.1086 6.1086 4.9122
angles (deg): 90.00 90.00 90.00
Element x y z (fractional)
Ac1 0.0000 0.5000 0.0000
Ac2 0.5000 0.0000 0.0000
Mn1 0.0000 0.0000 0.5000
Ge1 0.2874 0.2874 0.5000
Ge2 0.2874 0.7126 0.5000
Ge3 0.7126 0.2874 0.5000
Ge4 0.7126 0.7126 0.5000

## Properties
- D(E_F) (states/eV/f.u.) = 3.41
- space-group type = P4/mmm (123)
- magnetization (μB/atom) = 0.42

=====

Ordering by calculated energy gives the sequence *2*, *1*, with the first entry being the most stable.

=====

*1*
The following is a GGA-PBE calculation of a geometry-optimized AcGeN structure, from the Alexandria database.

a b c (Å): 3.9709 3.9709 4.4166
angles (deg): 90.00 90.00 120.00
Element x y z (fractional)
Ac1 0.0000 0.0000 0.0000
Ge1 0.3333 0.6667 0.5001
N1 0.6667 0.3333 0.5021

## Properties
- D(E_F) (states/eV/f.u.) = 0.46
- space-group type = P3m1 (156)
- magnetization (μB/atom) = 0.00

=====

*2*
The following is a GGA-PBE calculation of a geometry-optimized AcGeN structure, from the Alexandria database.

a b c (Å): 4.0143 14.0623 4.3588
angles (deg): 90.00 90.00 90.00
Element x y z (fractional)
Ac1 0.0000 0.1519 0.2500
Ac2 0.0000 0.8481 0.7500
Ac3 0.5000 0.3481 0.7500
Ac4 0.5000 0.6519 0.2500
Ge1 0.0000 0.4628 0.2500
Ge2 0.0000 0.5372 0.7500
Ge3 0.5000 0.0372 0.7500
Ge4 0.5000 0.9628 0.2500
N1 0.0000 0.3289 0.2500
N2 0.0000 0.6711 0.7500
N3 0.5000 0.1711 0.7500
N4 0.5000 0.8289 0.2500

## Properties
- D(E_F) (states/eV/f.u.) = 0.61
- space-group type = Cmcm (63)
- magnetization (μB/atom) = 0.00

=====

*3*
The following is a GGA-PBE calculation of a geometry-optimized AcGeN structure, from the Alexandria database.

a b c (Å): 11.0799 4.3387 5.6357
angles (deg): 90.00 90.00 90.00
Element x y z (fractional)
Ac1 0.1775 0.2500 0.1252
Ac2 0.3225 0.7500 0.6252
Ac3 0.6775 0.2500 0.3748
Ac4 0.8225 0.7500 0.8748
Ge1 0.0294 0.2500 0.6282
Ge2 0.4706 0.7500 0.1282
Ge3 0.5294 0.2500 0.8718
Ge4 0.9706 0.7500 0.3718
N1 0.2041 0.2500 0.6245
N2 0.2959 0.7500 0.1245
N3 0.7041 0.2500 0.8755
N4 0.7959 0.7500 0.3755

## Properties
- D(E_F) (states/eV/f.u.) = 0.59
- space-group type = Pnma (62)
- magnetization (μB/atom) = 0.00

=====

Ordering by calculated energy gives the sequence *3*, *2*, *1*, with the first entry being the most stable.

=====

*1*
The following is a GGA-PBE calculation of a geometry-optimized AcGeN2 structure, from the Alexandria database.

a b c (Å): 3.7506 3.7506 15.9711
angles (deg): 90.00 90.00 120.00
Element x y z (fractional)
Ac1 0.0000 0.0000 0.0000
Ac2 0.3333 0.6667 0.6667
Ac3 0.6667 0.3333 0.3333
Ge1 0.0000 0.0000 0.5000
Ge2 0.3333 0.6667 0.1667
Ge3 0.6667 0.3333 0.8333
N1 0.0000 0.0000 0.2420
N2 0.0000 0.0000 0.7580
N3 0.3333 0.6667 0.4246
N4 0.3333 0.6667 0.9087
N5 0.6667 0.3333 0.0913
N6 0.6667 0.3333 0.5754

## Properties
- D(E_F) (states/eV/f.u.) = 1.31
- space-group type = R-3m (166)
- magnetization (μB/atom) = 0.00

=====

*2*
The following is a GGA-PBE calculation of a geometry-optimized AcGeN2 structure, from the Alexandria database.

a b c (Å): 7.8826 7.8826 6.9117
angles (deg): 90.00 90.00 136.04
Element x y z (fractional)
Ac1 0.1667 0.8333 0.9580
Ac2 0.3333 0.6667 0.4580
Ac3 0.6667 0.3333 0.5420
Ac4 0.8333 0.1667 0.0420
Ge1 0.0755 0.9245 0.4097
Ge2 0.4245 0.5755 0.9097
Ge3 0.5755 0.4245 0.0903
Ge4 0.9245 0.0755 0.5903
N1 0.1485 0.3515 0.7500
N2 0.1729 0.8271 0.5871
N3 0.3271 0.6729 0.0871
N4 0.3515 0.1485 0.2500
N5 0.6485 0.8515 0.7500
N6 0.6729 0.3271 0.9129
N7 0.8271 0.1729 0.4129
N8 0.8515 0.6485 0.2500

## Properties
- D(E_F) (states/eV/f.u.) = 0.00
- space-group type = Cmce (64)
- magnetization (μB/atom) = 0.00

=====

*3*
The following is a GGA-PBE calculation of a geometry-optimized AcGeN2 structure, from the Alexandria database.

a b c (Å): 7.3044 5.8192 7.4636
angles (deg): 90.00 109.18 90.00
Element x y z (fractional)
Ac1 0.1953 0.0427 0.3487
Ac2 0.1953 0.4573 0.8487
Ac3 0.8047 0.5427 0.1513
Ac4 0.8047 0.9573 0.6513
Ge1 0.4153 0.5515 0.3321
Ge2 0.4153 0.9485 0.8321
Ge3 0.5847 0.0515 0.1679
Ge4 0.5847 0.4485 0.6679
N1 0.1511 0.6182 0.2383
N2 0.1511 0.8818 0.7383
N3 0.4230 0.1967 0.6712
N4 0.4230 0.3033 0.1712
N5 0.5770 0.6967 0.8288
N6 0.5770 0.8033 0.3288
N7 0.8489 0.1182 0.2617
N8 0.8489 0.3818 0.7617

## Properties
- space-group type = P2_1/c (14)
- magnetization (μB/atom) = 0.00

=====

Ordering by calculated energy gives the sequence *2*, *3*, *1*, with the first entry being the most stable.